Record 1
A geometry-optimized HfNbCu structure, computed with PBE.

Geometry as extended XYZ:
```
6
Lattice="3.0310 0.0000 0.0000 0.0000 4.4821 0.0000 -0.5350 0.0000 7.7230" Properties=species:S:1:pos:R:3 pbc="T T T"
Hf -0.1477 1.1205 2.2401
Hf 2.6437 3.3616 5.4830
Nb 0.5343 1.1205 7.1776
Nb 1.9617 3.3616 0.5454
Cu 1.1902 3.3616 3.1516
Cu 1.3059 1.1205 4.5714
```

Summary:
Its excess energy over the best structure of this formula in the dataset is 0.17 eV per formula unit. The value obtained for the formation energy is -63 meV per atom. The total DFT energy (no corrections) comes out at -8.103 eV per atom.


Record 2
A geometry-optimized AcPr3Tm6 structure, computed with PBE.

Geometry as extended XYZ:
```
10
Lattice="5.7686 -3.2867 0.0000 5.7686 3.2867 0.0000 -4.1769 0.0000 9.0088" Properties=species:S:1:pos:R:3 pbc="T T T"
Ac 0.0000 0.0000 0.0000
Pr -2.0883 0.0000 6.2737
Pr 3.6801 0.0000 4.5044
Pr 9.4485 0.0000 2.7351
Tm 0.7705 1.6207 6.1548
Tm 3.8449 0.0000 0.7425
Tm 6.5898 1.6207 2.8540
Tm 0.7705 -1.6207 6.1548
Tm 3.5153 0.0000 8.2663
Tm 6.5898 -1.6207 2.8540
```

Summary:
The value obtained for the formation energy is 241 meV per atom. The total DFT energy (no corrections) comes out at -4.287 eV per atom.


Record 3
A geometry-optimized PuTiTlBr6 structure, computed with PBE.

Geometry as extended XYZ:
```
18
Lattice="7.1041 0.0000 0.0000 -3.5520 6.1523 0.0000 0.0000 0.0000 15.0008" Properties=species:S:1:pos:R:3 pbc="T T T"
Pu 0.0000 4.1015 3.7502
Pu 3.5520 2.0508 11.2506
Ti 0.0000 4.1015 11.2506
Ti 3.5520 2.0508 3.7502
Tl 0.0000 0.0000 0.0000
Tl 0.0000 0.0000 7.5004
Br -1.1220 2.2941 9.6603
Br -2.1263 4.0336 12.8409
Br 1.1220 2.2941 12.8409
Br -1.0043 5.9769 9.6603
Br 2.5477 0.1754 2.1599
Br 1.4258 2.1187 5.3405
Br 2.1263 4.0336 9.6603
Br 1.0043 5.9769 12.8409
Br 4.5564 0.1754 5.3405
Br 2.4301 3.8582 2.1599
Br 5.6783 2.1187 2.1599
Br 4.6740 3.8582 5.3405
```

Summary:
The total DFT energy (no corrections) comes out at -5.094 eV per atom. The calculation puts the formation energy (no corrections) at -1.25 eV per atom.


Record 4
A geometry-optimized CaSmAgPt structure, computed with PBE.

Geometry as extended XYZ:
```
4
Lattice="0.0000 3.5999 3.5999 3.5999 0.0000 3.5999 3.5999 3.5999 0.0000" Properties=species:S:1:pos:R:3 pbc="T T T"
Ca 0.0000 0.0000 0.0000
Sm 3.5999 3.5999 3.5999
Ag 5.3999 5.3999 5.3999
Pt 1.8000 1.8000 1.8000
```

Summary:
The value obtained for the formation energy is -670 meV per atom. The total DFT energy (no corrections) comes out at -4.573 eV per atom.


Record 5
A geometry-optimized Nd2TlPd structure, computed with PBE.

Geometry as extended XYZ:
```
4
Lattice="3.6782 0.0000 0.0000 0.0000 3.6782 0.0000 0.0000 0.0000 7.9140" Properties=species:S:1:pos:R:3 pbc="T T T"
Nd 0.0000 0.0000 1.7622
Nd 0.0000 0.0000 6.1518
Tl 1.8391 1.8391 3.9570
Pd 1.8391 1.8391 0.0000
```

Summary:
The value obtained for the formation energy is -557 meV per atom. The total DFT energy (no corrections) comes out at -4.831 eV per atom.


Record 6
A geometry-optimized CdSb2TeAu structure, computed with PBE.

Geometry as extended XYZ:
```
5
Lattice="5.4203 0.0000 0.0000 0.0000 5.4203 0.0000 0.0000 0.0000 5.5295" Properties=species:S:1:pos:R:3 pbc="T T T"
Cd 0.0000 0.0000 0.0000
Sb 0.0000 2.7101 2.7648
Sb 2.7101 0.0000 2.7648
Te 2.7101 2.7101 0.0000
Au 2.7101 2.7101 2.7648
```

Summary:
Its excess energy over the best structure of this formula in the dataset is 0.00 eV per formula unit. The total DFT energy (no corrections) comes out at -2.578 eV per atom. The calculation puts the formation energy (no corrections) at 0.54 eV per atom.


Record 7
A geometry-optimized Pm5Mg2Pd4 structure, computed with PBE.

Geometry as extended XYZ:
```
11
Lattice="10.4046 -1.9336 0.0000 10.4046 1.9336 0.0000 -2.7569 0.0000 7.1200" Properties=species:S:1:pos:R:3 pbc="T T T"
Pm 0.0000 0.0000 0.0000
Pm 6.7892 0.0000 0.5456
Pm 5.3635 0.0000 4.2328
Pm 12.6887 0.0000 2.8872
Pm 11.2630 0.0000 6.5744
Mg -0.1169 0.0000 4.0815
Mg 18.1691 0.0000 3.0385
Pd 2.4801 0.0000 5.0867
Pd 8.4627 0.0000 4.9517
Pd 9.5895 0.0000 2.1683
Pd 15.5722 0.0000 2.0333
```

Summary:
The value obtained for the formation energy is -509 meV per atom. The total DFT energy (no corrections) comes out at -4.847 eV per atom.


Record 8
A geometry-optimized Cs4Be structure, computed with PBE.

Geometry as extended XYZ:
```
5
Lattice="7.5550 0.0000 0.0000 0.0000 7.5550 0.0000 0.0000 0.0000 7.5550" Properties=species:S:1:pos:R:3 pbc="T T T"
Cs 0.0000 0.0000 0.0000
Cs 0.0000 3.7775 3.7775
Cs 3.7775 0.0000 3.7775
Cs 3.7775 3.7775 0.0000
Be 3.7775 3.7775 3.7775
```

Summary:
The value obtained for the formation energy is 485 meV per atom. The total DFT energy (no corrections) comes out at -0.943 eV per atom.


Record 9
A geometry-optimized Li3NpU3N8 structure, computed with PBE.

Geometry as extended XYZ:
```
15
Lattice="3.4870 2.0132 4.9619 -3.4870 2.0132 4.9619 0.0000 -4.0264 4.9619" Properties=species:S:1:pos:R:3 pbc="T T T"
Li -1.7435 -1.0066 4.9619
Li -1.7435 1.0066 9.9238
Li 0.0000 2.0132 4.9619
Np 0.0000 0.0000 7.4428
U -3.4870 0.0000 7.4428
U -1.7435 1.0066 2.4809
U 1.7435 1.0066 2.4809
N -1.7236 -0.9951 8.4023
N 0.0000 0.0000 3.5285
N 0.0000 -1.9902 6.4834
N -1.7236 0.9951 6.4834
N 1.7236 -0.9951 8.4023
N 0.0000 1.9902 8.4023
N 0.0000 0.0000 11.3572
N 1.7236 0.9951 6.4834
```

Summary:
The total DFT energy (no corrections) comes out at -8.969 eV per atom. The calculation puts the formation energy (no corrections) at -1.03 eV per atom.


Record 10
A geometry-optimized YCuPdPb structure, computed with PBE.

Geometry as extended XYZ:
```
4
Lattice="0.0000 3.4250 3.4250 3.4250 0.0000 3.4250 3.4250 3.4250 0.0000" Properties=species:S:1:pos:R:3 pbc="T T T"
Y 0.0000 0.0000 0.0000
Cu 5.1376 5.1376 5.1376
Pd 1.7125 1.7125 1.7125
Pb 3.4250 3.4250 3.4250
```

Summary:
The value obtained for the formation energy is -453 meV per atom. The total DFT energy (no corrections) comes out at -5.318 eV per atom.


Record 11
A geometry-optimized Eu3TeN structure, computed with PBE.

Geometry as extended XYZ:
```
5
Lattice="5.0549 0.0000 0.0000 0.0000 5.0549 0.0000 0.0000 0.0000 5.0549" Properties=species:S:1:pos:R:3 pbc="T T T"
Eu 0.0000 0.0000 2.5274
Eu 0.0000 2.5274 0.0000
Eu 2.5274 0.0000 0.0000
Te 2.5274 2.5274 2.5274
N 0.0000 0.0000 0.0000
```

Summary:
The total DFT energy (no corrections) comes out at -9.486 eV per atom. The calculation puts the formation energy (no corrections) at -1.03 eV per atom.


Record 12
A geometry-optimized Ba2CdAu structure, computed with PBE.

Geometry as extended XYZ:
```
4
Lattice="5.0983 0.0000 0.0000 0.0000 2.3499 6.2843 0.0000 -2.3499 6.2843" Properties=species:S:1:pos:R:3 pbc="T T T"
Ba 0.0000 0.0000 0.0000
Ba 2.5491 0.0000 3.5093
Cd 0.0000 0.0000 8.8951
Au 2.5491 0.0000 7.1904
```

Summary:
The value obtained for the formation energy is -493 meV per atom. The total DFT energy (no corrections) comes out at -2.503 eV per atom.


What did the first record say?
A geometry-optimized HfNbCu structure, computed with PBE.

Geometry as extended XYZ:
```
6
Lattice="3.0310 0.0000 0.0000 0.0000 4.4821 0.0000 -0.5350 0.0000 7.7230" Properties=species:S:1:pos:R:3 pbc="T T T"
Hf -0.1477 1.1205 2.2401
Hf 2.6437 3.3616 5.4830
Nb 0.5343 1.1205 7.1776
Nb 1.9617 3.3616 0.5454
Cu 1.1902 3.3616 3.1516
Cu 1.3059 1.1205 4.5714
```

Summary:
Its excess energy over the best structure of this formula in the dataset is 0.17 eV per formula unit. The value obtained for the formation energy is -63 meV per atom. The total DFT energy (no corrections) comes out at -8.103 eV per atom.


Q: Look up the total DFT energy (no corrections) of the sixth one.
A: -2.578 eV per atom